The following is a PBE calculation of TlSeBr2O after structural relaxation, from the Alexandria database.

## Properties
**Energy relative to the elements, uncorrected**: 0.778 eV per atom
**Magnetization**: 0.91 Bohr magnetons per cell
**Total energy**: -2.053 eV per atom

Cell: 5.5330 5.5330 5.7395 Å, 90.00 90.00 90.00°
With the nearest neighbours (Å) after each atom.
Space group P4/mmm (No. 123)
Unique sites:
Tl (0.0000, 0.0000, 0.0000)  4 Br 2.77, 2 Se 2.87
Se (0.0000, 0.0000, 0.5000)  2 Tl 2.87
Br (0.0000, 0.5000, 0.0000)  2 Tl 2.77
O (0.5000, 0.5000, 0.5000)  4 Se 3.91, 8 Br 3.99

=====

The following is a PBE calculation of Ac3Mg7Cd2 after structural relaxation, from the Alexandria database.

## Properties
**Magnetization**: 0.00 Bohr magnetons per cell
**Formation enthalpy at 0 K**: -0.162 eV/atom
**Total energy**: -2.272 eV per atom

Cell: 6.2898 6.2898 29.8436 Å, 90.00 90.00 120.00°
With the nearest neighbours (Å) after each atom.
Space group R-3m (No. 166, hexagonal axes)
Unique sites:
Ac (0.0000, 0.0000, 0.0000)  6 Cd 3.63, 12 Mg 3.95
Ac (0.0000, 0.0000, 0.1442)  12 Mg 3.68-3.72, 3 Ac 3.87
Mg (0.0000, 0.0000, 0.5000)  6 Mg 3.16
Mg (0.0015, 0.5008, 0.9199)  2 Cd 2.99-3.02, 5 Mg 3.13-3.16
Cd (0.0000, 0.0000, 0.3341)  6 Mg 2.99-3.02

=====

The following is a PBE calculation of Ca2LaZn after structural relaxation, from the Alexandria database.

## Properties
**Magnetization**: 0.00 Bohr magnetons per cell
**Formation enthalpy at 0 K**: 0.025 eV/atom
**Total energy**: -2.526 eV per atom

Cell: 4.8566 4.8566 5.4268 Å, 90.00 90.00 90.00°
With the nearest neighbours (Å) after each atom.
Space group P4/mmm (No. 123)
Unique sites:
Ca (0.0000, 0.5000, 0.0000)  4 Ca 3.43, 4 La 3.64, 4 Zn 3.64
La (0.0000, 0.0000, 0.5000)  4 Zn 3.43, 8 Ca 3.64
Zn (0.5000, 0.5000, 0.5000)  4 La 3.43, 8 Ca 3.64

=====

The following is a PBE calculation of Ba2TlHIr after structural relaxation, from the Alexandria database.

## Properties
**Magnetization**: 0.00 Bohr magnetons per cell
**Total energy**: -3.828 eV per atom

Cell: 5.8848 5.8848 3.7808 Å, 90.00 90.00 90.00°
With the nearest neighbours (Å) after each atom.
Space group P4/mmm (No. 123)
Unique sites:
Ba (0.0000, 0.5000, 0.0000)  2 H 2.94
Tl (0.0000, 0.0000, 0.5000)  8 Ba 3.50, 2 Tl 3.78
H (0.5000, 0.5000, 0.0000)  2 Ir 1.89
Ir (0.5000, 0.5000, 0.5000)  2 H 1.89

=====

The following is a PBE calculation of Nd4Dy3Sc4 after structural relaxation, from the Alexandria database.

## Properties
**Magnetization**: 0.00 Bohr magnetons per cell
**Formation enthalpy at 0 K**: 0.084 eV/atom
**Total energy**: -5.207 eV per atom

Cell: 3.4408 5.5190 17.6487 Å, 81.02 84.41 89.99°
With the nearest neighbours (Å) after each atom.
Space group P-1 (No. 2)
Unique sites:
Nd (0.0916, 0.0912, 0.3180)  3 Sc 3.12-3.20, 2 Nd 3.44
Nd (0.2308, 0.7309, 0.0383)  4 Sc 3.26-3.51, 6 Nd 3.44-3.51
Dy (0.3636, 0.3642, 0.7713)  2 Dy 3.44, 6 Nd 3.60-3.73, 6 Sc 3.61
Dy (0.5000, 0.0000, 0.5000)  2 Dy 3.44, 8 Sc 3.59-3.60, 4 Nd 3.59-3.60
Sc (0.0449, 0.5444, 0.4119)  1 Sc 3.06, 2 Nd 3.20
Sc (0.1818, 0.1811, 0.1381)  3 Nd 3.12-3.26, 2 Sc 3.44

=====

The following is a PBE calculation of V2Ni3Ir after structural relaxation, from the Alexandria database.

## Properties
**Magnetization**: 0.00 Bohr magnetons per cell
**Formation enthalpy at 0 K**: -0.197 eV/atom
**Total energy**: -7.604 eV per atom

Cell: 11.7193 4.2517 6.8346 Å, 90.00 119.69 90.00°
With the nearest neighbours (Å) after each atom.
Space group C2/m (No. 12)
Unique sites:
V (0.0241, 0.0000, 0.1955)  5 Ni 2.38-2.63, 1 V 2.44, 2 Ir 2.58
V (0.2030, 0.5000, 0.5589)  5 Ni 2.43-2.54, 1 Ir 2.48, 2 V 2.69
Ni (0.0389, 0.5000, 0.7001)  4 Ni 2.42-2.61, 4 V 2.47-2.54, 1 Ir 2.67
Ni (0.1178, 0.0000, 0.6033)  4 Ni 2.40-2.53, 4 V 2.43-2.63, 1 Ir 2.54
Ni (0.2090, 0.0000, 0.0197)  2 V 2.38-2.53, 4 Ni 2.40-2.61, 3 Ir 2.63
Ir (0.1342, 0.5000, 0.1526)  3 V 2.48-2.58, 6 Ni 2.54-2.72

=====

The following is a PBE calculation of TlSn5Se6 after structural relaxation, from the Alexandria database.

## Properties
**Energy relative to the elements, uncorrected**: -0.423 eV per atom
**Magnetization**: 0.00 Bohr magnetons per cell
**Total energy**: -4.030 eV per atom

Cell: 7.4850 12.8250 7.4142 Å, 90.00 109.24 90.00°
With the nearest neighbours (Å) after each atom.
Space group C2/m (No. 12)
Unique sites:
Tl (0.0000, 0.0000, 0.0000)  6 Se 3.14-3.17
Sn (0.0000, 0.1688, 0.5000)  6 Se 2.88-3.13
Sn (0.0000, 0.3369, 0.0000)  6 Se 2.94-3.09
Sn (0.0000, 0.5000, 0.5000)  6 Se 2.94-3.02
Se (0.2303, 0.5000, 0.2470)  5 Sn 2.94-3.13, 1 Tl 3.14
Se (0.2370, 0.3268, 0.7385)  5 Sn 2.88-3.09, 1 Tl 3.17

=====

The following is a PBE calculation of Hf3ZnGa after structural relaxation, from the Alexandria database.

## Properties
**Magnetization**: 0.00 Bohr magnetons per cell
**Formation enthalpy at 0 K**: 0.556 eV/atom
**Total energy**: -6.276 eV per atom

Cell: 4.8805 4.8805 4.8805 Å, 90.00 90.00 90.00°
With the nearest neighbours (Å) after each atom.
Space group Pm-3m (No. 221)
Unique sites:
Hf (0.0000, 0.0000, 0.5000)  2 Zn 2.44
Zn (0.0000, 0.0000, 0.0000)  6 Hf 2.44
Ga (0.5000, 0.5000, 0.5000)  12 Hf 3.45

=====

The following is a PBE calculation of Ba2PaAu2S6 after structural relaxation, from the Alexandria database.

## Properties
**Energy relative to the elements, uncorrected**: -1.137 eV per atom
**Magnetization**: 0.00 Bohr magnetons per cell
**Total energy**: -5.197 eV per atom

Cell: 7.5608 7.5608 19.1112 Å, 90.00 90.00 120.00°
With the nearest neighbours (Å) after each atom.
Space group R-3m (No. 166, hexagonal axes)
Unique sites:
Ba (0.0000, 0.0000, 0.2244)  3 S 3.26
Pa (0.0000, 0.0000, 0.0000)  6 S 2.62
Au (0.0000, 0.0000, 0.4171)  3 S 2.38
S (0.0291, 0.5145, 0.7560)  1 Au 2.38, 1 Pa 2.62

=====

The following is a PBE calculation of Ac2DyNbO8 after structural relaxation, from the Alexandria database.

## Properties
**Energy relative to the elements, uncorrected**: -2.760 eV per atom
**Magnetization**: 0.00 Bohr magnetons per cell
**Total energy**: -7.973 eV per atom

Cell: 4.1701 7.3864 5.6686 Å, 90.00 90.10 90.00°
With the nearest neighbours (Å) after each atom.
Space group P2/m (No. 10)
Unique sites:
Ac (0.0000, 0.2502, 0.0000)  6 O 2.37-2.59
Dy (0.5000, 0.0000, 0.5000)  8 O 2.48-2.51
Nb (0.5000, 0.5000, 0.5000)  8 O 2.04-2.22
O (0.0009, 0.0000, 0.2619)  2 Ac 2.37, 2 Dy 2.48-2.49
O (0.0014, 0.5000, 0.3681)  1 O 1.50
O (0.4991, 0.2896, 0.7326)  1 Nb 2.04

=====

The following is a PBE calculation of TcOs2W after structural relaxation, from the Alexandria database.

## Properties
**Magnetization**: 0.12 Bohr magnetons per cell
**Formation enthalpy at 0 K**: 0.406 eV/atom
**Total energy**: -11.038 eV per atom

Cell: 3.2544 3.2544 5.7177 Å, 90.00 90.00 90.00°
With the nearest neighbours (Å) after each atom.
Space group P4mm (No. 99)
Unique sites:
Tc (0.0000, 0.0000, 0.0000)  6 Os 2.67-2.87, 4 W 2.76
Os (0.0000, 0.0000, 0.5025)  4 W 2.67, 4 Os 2.74, 2 Tc 2.84-2.87
Os (0.5000, 0.5000, 0.7618)  4 Tc 2.67, 4 Os 2.74, 2 W 2.83-2.88
W (0.5000, 0.5000, 0.2661)  6 Os 2.67-2.88, 4 Tc 2.76

=====

The following is a PBE calculation of TlAs2Os after structural relaxation, from the Alexandria database.

## Properties
**Magnetization**: 0.00 Bohr magnetons per cell
**Formation enthalpy at 0 K**: 0.274 eV/atom
**Total energy**: -5.449 eV per atom

Cell: 4.9965 4.0628 5.3772 Å, 90.00 117.01 90.00°
With the nearest neighbours (Å) after each atom.
Space group P2/m (No. 10)
Unique sites:
Tl (0.0000, 0.0000, 0.0000)  2 Os 2.71
As (0.2771, 0.5000, 0.5913)  2 Os 2.47, 1 As 2.48
Os (0.5000, 0.0000, 0.5000)  4 As 2.47, 2 Tl 2.71

=====

The following is a PBE calculation of Dy3Ho7Er2 after structural relaxation, from the Alexandria database.

## Properties
**Magnetization**: 0.00 Bohr magnetons per cell
**Formation enthalpy at 0 K**: 0.315 eV/atom
**Total energy**: -4.266 eV per atom

Cell: 6.1257 5.4878 11.8704 Å, 90.00 92.55 90.00°
With the nearest neighbours (Å) after each atom.
Space group P2/m (No. 10)
Unique sites:
Dy (0.0000, 0.0000, 0.0000)  6 Ho 3.26-3.50, 2 Er 3.37
Dy (0.4511, 0.5000, 0.3349)  2 Er 3.46, 6 Ho 3.49-3.58
Ho (0.0607, 0.5000, 0.8204)  2 Er 3.17, 3 Ho 3.36-3.48, 2 Dy 3.50
Ho (0.2651, 0.0000, 0.5498)  3 Ho 3.16-3.46, 2 Er 3.16-3.28, 2 Dy 3.49
Ho (0.4099, 0.0000, 0.8345)  2 Er 3.25-3.45, 3 Dy 3.26-3.53, 5 Ho 3.41-3.48
Ho (0.5000, 0.5000, 0.0000)  6 Ho 3.36-3.41
Er (0.1178, 0.0000, 0.2804)  6 Ho 3.16-3.45, 3 Dy 3.37-3.46

=====

The following is a PBE calculation of Ga3IrSe after structural relaxation, from the Alexandria database.

## Properties
**Energy relative to the elements, uncorrected**: 1.030 eV per atom
**Magnetization**: 0.00 Bohr magnetons per cell
**Total energy**: -3.256 eV per atom

Cell: 4.8313 4.8313 4.8313 Å, 90.00 90.00 90.00°
With the nearest neighbours (Å) after each atom.
Space group Pm-3m (No. 221)
Unique sites:
Ga (0.0000, 0.0000, 0.5000)  2 Se 2.42
Ir (0.5000, 0.5000, 0.5000)  12 Ga 3.42
Se (0.0000, 0.0000, 0.0000)  6 Ga 2.42

=====

The following is a PBE calculation of Nd4Y3Er4 after structural relaxation, from the Alexandria database.

## Properties
**Magnetization**: 0.00 Bohr magnetons per cell
**Formation enthalpy at 0 K**: 0.051 eV/atom
**Total energy**: -5.105 eV per atom

Cell: 3.5501 5.6289 18.2770 Å, 98.84 95.57 90.00°
With the nearest neighbours (Å) after each atom.
Space group P-1 (No. 2)
Unique sites:
Nd (0.0459, 0.0470, 0.0922)  2 Er 3.25, 3 Nd 3.31-3.55
Nd (0.1799, 0.6805, 0.3607)  5 Er 3.21-3.57, 2 Nd 3.55
Y (0.3630, 0.8623, 0.7252)  2 Y 3.55, 6 Nd 3.67-3.73, 6 Er 3.72-3.89
Y (0.5000, 0.5000, 0.0000)  2 Y 3.55, 8 Nd 3.71-3.72, 4 Er 3.73
Er (0.0908, 0.5921, 0.1823)  3 Nd 3.21-3.25, 2 Er 3.55
Er (0.2337, 0.2336, 0.4671)  4 Nd 3.40-3.57, 6 Er 3.53-3.55

=====

The following is a PBE calculation of HgBiAu after structural relaxation, from the Alexandria database.

## Properties
**Magnetization**: 0.00 Bohr magnetons per cell
**Formation enthalpy at 0 K**: 0.035 eV/atom
**Total energy**: -2.452 eV per atom

Cell: 9.1943 4.6356 7.2227 Å, 90.00 90.00 90.00°
With the nearest neighbours (Å) after each atom.
Space group Pnma (No. 62)
Unique sites:
Hg (0.1842, 0.2500, 0.2076)  4 Au 2.85-2.97
Bi (0.0750, 0.2500, 0.6379)  4 Au 3.13-3.44, 3 Hg 3.24-3.27, 2 Bi 3.35
Au (0.0988, 0.7500, 0.9895)  4 Hg 2.85-2.97, 2 Au 2.95, 2 Bi 3.13-3.19

=====

The following is a PBE calculation of Ac8SiPb2 after structural relaxation, from the Alexandria database.

## Properties
**Energy relative to the elements, uncorrected**: -0.247 eV per atom
**Magnetization**: 0.00 Bohr magnetons per cell
**Total energy**: -4.402 eV per atom

Cell: 21.2645 5.5397 7.4962 Å, 90.00 103.01 90.00°
With the nearest neighbours (Å) after each atom.
Space group C2/m (No. 12)
Unique sites:
Ac (0.0204, 0.0000, 0.2809)  2 Si 3.30, 1 Pb 3.51, 1 Ac 3.58
Ac (0.0885, 0.5000, 0.9535)  1 Si 3.50, 2 Ac 3.78, 2 Pb 3.88
Ac (0.1502, 0.5000, 0.4951)  1 Si 3.20, 3 Pb 3.43-3.59
Ac (0.2139, 0.0000, 0.8263)  3 Pb 3.47-3.67, 4 Ac 3.76-3.87
Si (0.0000, 0.5000, 0.5000)  8 Ac 3.20-3.50
Pb (0.1839, 0.0000, 0.2628)  7 Ac 3.43-3.67

=====

The following is a PBE calculation of Ac3InB2Pt9 after structural relaxation, from the Alexandria database.

## Properties
**Magnetization**: 0.00 Bohr magnetons per cell
**Formation enthalpy at 0 K**: -0.756 eV/atom
**Total energy**: -6.275 eV per atom

Cell: 6.0035 6.0035 9.5669 Å, 90.00 90.00 120.00°
With the nearest neighbours (Å) after each atom.
Space group P-3m1 (No. 164)
Unique sites:
Ac (0.0000, 0.0000, 0.0000)  12 Pt 3.00-3.20
Ac (0.3333, 0.6667, 0.6324)  6 Pt 3.12
In (0.0000, 0.0000, 0.5000)  6 Pt 2.75
B (0.3333, 0.6667, 0.1437)  6 Pt 2.14-2.21
Pt (0.0000, 0.5000, 0.0000)  2 B 2.21
Pt (0.1690, 0.3379, 0.2791)  1 B 2.14

=====

The following is a PBE calculation of BiPt2Pb after structural relaxation, from the Alexandria database.

## Properties
**Magnetization**: 0.00 Bohr magnetons per cell
**Formation enthalpy at 0 K**: -0.211 eV/atom
**Total energy**: -5.128 eV per atom

Cell: 5.7244 5.7452 11.4102 Å, 90.00 108.32 90.00°
With the nearest neighbours (Å) after each atom.
Space group P2/c (No. 13)
Unique sites:
Bi (0.1942, 0.1436, 0.1464)  6 Pt 2.84-3.06
Pt (0.1432, 0.3374, 0.5843)  2 Pt 2.81-2.82, 3 Bi 2.84-3.06, 3 Pb 2.89-3.00
Pt (0.3581, 0.1571, 0.4121)  2 Pt 2.81-2.82, 3 Bi 2.85-3.02, 3 Pb 2.87-3.02
Pb (0.3082, 0.3558, 0.8537)  6 Pt 2.87-3.02

=====

The following is a PBE calculation of Tl2SiRu after structural relaxation, from the Alexandria database.

## Properties
**Energy relative to the elements, uncorrected**: 0.760 eV per atom
**Magnetization**: 0.00 Bohr magnetons per cell
**Total energy**: -4.098 eV per atom

Cell: 3.3941 4.6554 5.1175 Å, 90.00 90.00 90.00°
With the nearest neighbours (Å) after each atom.
Space group Pmmm (No. 47)
Unique sites:
Tl (0.0000, 0.0000, 0.0000)  4 Ru 2.88, 4 Tl 3.07
Tl (0.5000, 0.0000, 0.5000)  4 Si 2.88, 4 Tl 3.07
Si (0.0000, 0.5000, 0.5000)  4 Tl 2.88, 4 Ru 3.07
Ru (0.5000, 0.5000, 0.0000)  4 Tl 2.88, 4 Si 3.07